VASP calculation (PBE) on an optimized crystal structure of Nd3Er2Ga4.

The structure in POSCAR format:
```
Nd3Er2Ga4
1.0
4.4673 0.0000 0.0000
-2.2336 5.5678 0.3567
0.0000 -0.9136 9.5810
Nd Er Ga
3 2 4
Direct
0.3800 0.7601 0.6179 Nd
0.0000 0.0000 0.0000 Nd
0.6200 0.2399 0.3821 Nd
0.3185 0.6370 0.2317 Er
0.6815 0.3630 0.7683 Er
0.6981 0.3963 0.0714 Ga
0.0810 0.1620 0.6072 Ga
0.9190 0.8380 0.3928 Ga
0.3019 0.6037 0.9286 Ga
```

## Properties
DOS at the Fermi energy in states/eV/cell: 7.2
Energy in eV/cell: -39.74